A plane-wave DFT calculation with GGA-PBE was carried out for a relaxed SiRuC3 crystal.

Results
Total magnetization (μB per formula unit): 0.00
Formation energy (no corrections) (eV/atom): 2.12
DOS at the Fermi energy (states/eV/atom): 0.785

a = 3.7074 Å, b = 3.7074 Å, c = 3.7074 Å
α = 90.00°, β = 90.00°, γ = 90.00°
Positions (direct):
1 Si 0.0000 0.0000 0.0000
2 Ru 0.5000 0.5000 0.5000
3 C 0.0000 0.0000 0.5000
4 C 0.0000 0.5000 0.0000
5 C 0.5000 0.0000 0.0000